# 1
Here is crystalline LiNd4Rh4O12 at its relaxed geometry from the Alexandria database. Energies are from GGA-PBE.

Output
The formation energy from raw total energies comes out at -1.99 eV/atom. Its energy above the lowest structure with this stoichiometry is 0.0 kJ/mol of atoms. The uncorrected energy is -7.221 eV/atom. As for the density of states at the Fermi level: 4.280 states/eV/cell. Its space group is Pm (6).

Cell lengths 5.4068, 7.6623, 6.2064 Å; angles 90.00, 91.41, 90.00 degrees
Atoms (fractional coordinates):
Li 0.0000 0.0000 0.0000
Nd 0.3920 0.5000 0.6634
Nd 0.4748 0.0000 0.8425
Nd 0.8761 0.0000 0.3799
Nd 0.9527 0.5000 0.1696
Rh 0.4200 0.2490 0.2526
Rh 0.4200 0.7510 0.2526
Rh 0.9286 0.2567 0.7519
Rh 0.9286 0.7433 0.7519
O 0.0617 0.0000 0.7175
O 0.0995 0.3030 0.4456
O 0.0995 0.6970 0.4456
O 0.2535 0.3035 0.9434
O 0.2535 0.6965 0.9434
O 0.2767 0.0000 0.1973
O 0.5517 0.5000 0.3033
O 0.5970 0.1975 0.5632
O 0.5970 0.8025 0.5632
O 0.7578 0.1900 0.0614
O 0.7578 0.8100 0.0614
O 0.7987 0.5000 0.8022

# 2
Here is crystalline LiNd4Rh4O12 at its relaxed geometry from the Alexandria database. Energies are from GGA-PBE.

Output
The formation energy from raw total energies comes out at -1.90 eV/atom. Its energy above the lowest structure with this stoichiometry is 8.8 kJ/mol of atoms. The uncorrected energy is -7.130 eV/atom. As for the density of states at the Fermi level: 4.225 states/eV/cell. Its space group is Pm (6).

Cell lengths 5.7587, 7.7492, 5.9254 Å; angles 90.00, 93.62, 90.00 degrees
Atoms (fractional coordinates):
Li 0.0000 0.0000 0.0000
Nd 0.1999 0.0000 0.6187
Nd 0.2075 0.5000 0.5147
Nd 0.6563 0.0000 0.1890
Nd 0.6705 0.5000 0.0120
Rh 0.1961 0.2603 0.0819
Rh 0.1961 0.7397 0.0819
Rh 0.7003 0.2539 0.5919
Rh 0.7003 0.7461 0.5919
O 0.0007 0.1981 0.3824
O 0.0007 0.8019 0.3824
O 0.0725 0.5000 0.1283
O 0.2998 0.0000 0.0185
O 0.3888 0.3047 0.7787
O 0.3888 0.6953 0.7787
O 0.5135 0.3025 0.2768
O 0.5135 0.6975 0.2768
O 0.5810 0.0000 0.5595
O 0.8256 0.5000 0.6363
O 0.8733 0.1998 0.9051
O 0.8733 0.8002 0.9051

# 3
Here is crystalline LiNd2RuO6 at its relaxed geometry from the Alexandria database. Energies are from GGA-PBE.

Output
The formation energy from raw total energies comes out at -2.38 eV/atom. The uncorrected energy is -7.430 eV/atom. Its space group is P2_1/c (14).

Cell lengths 5.4574, 5.8370, 9.4532 Å; angles 90.00, 124.74, 90.00 degrees
Atoms (fractional coordinates):
Li 0.0000 0.0000 0.0000
Li 0.0000 0.5000 0.5000
Nd 0.2316 0.0726 0.7487
Nd 0.2316 0.4274 0.2487
Nd 0.7684 0.5726 0.7513
Nd 0.7684 0.9274 0.2513
Ru 0.5000 0.0000 0.5000
Ru 0.5000 0.5000 0.0000
O 0.1554 0.1845 0.4517
O 0.1554 0.3155 0.9517
O 0.2662 0.7116 0.4462
O 0.2662 0.7884 0.9462
O 0.3554 0.0318 0.2559
O 0.3554 0.4682 0.7559
O 0.6446 0.5318 0.2441
O 0.6446 0.9682 0.7441
O 0.7338 0.2116 0.0538
O 0.7338 0.2884 0.5538
O 0.8446 0.6845 0.0483
O 0.8446 0.8155 0.5483

# 4
Here is crystalline LiNdSO at its relaxed geometry from the Alexandria database. Energies are from GGA-PBE.

Output
The formation energy from raw total energies comes out at -2.39 eV/atom. The uncorrected energy is -6.331 eV/atom. As for the density of states at the Fermi level: 0.000 states/eV/cell. Its space group is P4/nmm (129).

Cell lengths 3.9651, 3.9651, 8.7391 Å; angles 90.00, 90.00, 90.00 degrees
Atoms (fractional coordinates):
Li 0.2500 0.7500 0.0000
Li 0.7500 0.2500 0.0000
Nd 0.2500 0.2500 0.3605
Nd 0.7500 0.7500 0.6395
S 0.2500 0.2500 0.8348
S 0.7500 0.7500 0.1652
O 0.2500 0.7500 0.5000
O 0.7500 0.2500 0.5000

# 5
Here is crystalline LiNdS2O8 at its relaxed geometry from the Alexandria database. Energies are from GGA-PBE.

Output
The formation energy from raw total energies comes out at -1.93 eV/atom. Its energy above the lowest structure with this stoichiometry is 8.9 kJ/mol of atoms. The uncorrected energy is -6.484 eV/atom. As for the density of states at the Fermi level: 0.000 states/eV/cell. Its space group is P-4n2 (118).

Cell lengths 7.7440, 7.7440, 6.2060 Å; angles 90.00, 90.00, 90.00 degrees
Atoms (fractional coordinates):
Li 0.0000 0.5000 0.2500
Li 0.5000 0.0000 0.7500
Nd 0.0000 0.5000 0.7500
Nd 0.5000 0.0000 0.2500
S 0.2205 0.2795 0.2500
S 0.2795 0.7795 0.7500
S 0.7205 0.2205 0.7500
S 0.7795 0.7205 0.2500
O 0.0985 0.3278 0.4307
O 0.0981 0.8008 0.8196
O 0.1722 0.4015 0.0693
O 0.1992 0.0981 0.1804
O 0.3008 0.5981 0.6804
O 0.3278 0.9015 0.5693
O 0.4019 0.3008 0.3196
O 0.4015 0.8278 0.9307
O 0.5985 0.1722 0.9307
O 0.5981 0.6992 0.3196
O 0.6722 0.0985 0.5693
O 0.6992 0.4019 0.6804
O 0.8008 0.9019 0.1804
O 0.8278 0.5985 0.0693
O 0.9019 0.1992 0.8196
O 0.9015 0.6722 0.4307

# 6
Here is crystalline Li2Nd3S2O4 at its relaxed geometry from the Alexandria database. Energies are from GGA-PBE.

Output
The formation energy from raw total energies comes out at -2.38 eV/atom. The uncorrected energy is -6.584 eV/atom. As for the density of states at the Fermi level: 7.394 states/eV/cell. Its space group is I4/mmm (139).

Cell lengths 10.8582, 10.8582, 10.8582 Å; angles 159.17, 159.17, 29.63 degrees
Atoms (fractional coordinates):
Li 0.0833 0.0833 0.0000
Li 0.9167 0.9167 0.0000
Nd 0.3458 0.3458 0.0000
Nd 0.5000 0.5000 0.0000
Nd 0.6542 0.6542 0.0000
S 0.2027 0.2027 0.0000
S 0.7973 0.7973 0.0000
O 0.0752 0.5752 0.5000
O 0.4248 0.9248 0.5000
O 0.5752 0.0752 0.5000
O 0.9248 0.4248 0.5000

# 7
Here is crystalline LiNdS2O8 at its relaxed geometry from the Alexandria database. Energies are from GGA-PBE.

Output
The formation energy from raw total energies comes out at -2.03 eV/atom. Its energy above the lowest structure with this stoichiometry is 0.0 kJ/mol of atoms. The uncorrected energy is -6.576 eV/atom. As for the density of states at the Fermi level: 0.000 states/eV/cell. Its space group is P-3 (147).

Cell lengths 5.1344, 5.1344, 6.8227 Å; angles 90.00, 90.00, 120.00 degrees
Atoms (fractional coordinates):
Li 0.0000 0.0000 0.0000
Nd 0.0000 0.0000 0.5000
S 0.3333 0.6667 0.2795
S 0.6667 0.3333 0.7205
O 0.1736 0.8240 0.2127
O 0.1760 0.3496 0.2127
O 0.3333 0.6667 0.5006
O 0.3496 0.1736 0.7873
O 0.6504 0.8264 0.2127
O 0.6667 0.3333 0.4994
O 0.8240 0.6504 0.7873
O 0.8264 0.1760 0.7873

# 8
Here is crystalline LiNd2SeO6 at its relaxed geometry from the Alexandria database. Energies are from GGA-PBE.

Output
The formation energy from raw total energies comes out at -2.22 eV/atom. The uncorrected energy is -6.688 eV/atom. As for the density of states at the Fermi level: 8.287 states/eV/cell. Its space group is P2_1/c (14).

Cell lengths 5.4796, 5.7791, 9.4826 Å; angles 90.00, 124.82, 90.00 degrees
Atoms (fractional coordinates):
Li 0.0000 0.0000 0.0000
Li 0.0000 0.5000 0.5000
Nd 0.2331 0.0662 0.7490
Nd 0.2331 0.4338 0.2490
Nd 0.7669 0.5662 0.7510
Nd 0.7669 0.9338 0.2510
Se 0.5000 0.0000 0.5000
Se 0.5000 0.5000 0.0000
O 0.1665 0.1876 0.4541
O 0.1665 0.3124 0.9541
O 0.2636 0.7154 0.4488
O 0.2636 0.7846 0.9488
O 0.3532 0.0294 0.2592
O 0.3532 0.4706 0.7592
O 0.6468 0.5294 0.2408
O 0.6468 0.9706 0.7408
O 0.7364 0.2154 0.0512
O 0.7364 0.2846 0.5512
O 0.8335 0.6876 0.0459
O 0.8335 0.8124 0.5459

# 9
Here is crystalline LiNdSeO at its relaxed geometry from the Alexandria database. Energies are from GGA-PBE.

Output
The formation energy from raw total energies comes out at -2.35 eV/atom. The uncorrected energy is -6.134 eV/atom. As for the density of states at the Fermi level: 0.000 states/eV/cell. Its space group is P4/nmm (129).

Cell lengths 4.0432, 4.0432, 9.0844 Å; angles 90.00, 90.00, 90.00 degrees
Atoms (fractional coordinates):
Li 0.2500 0.7500 0.0000
Li 0.7500 0.2500 0.0000
Nd 0.2500 0.2500 0.3693
Nd 0.7500 0.7500 0.6307
Se 0.2500 0.2500 0.8267
Se 0.7500 0.7500 0.1733
O 0.2500 0.7500 0.5000
O 0.7500 0.2500 0.5000

# 10
Here is crystalline Li2Nd3Se3O2 at its relaxed geometry from the Alexandria database. Energies are from GGA-PBE.

Output
The formation energy from raw total energies comes out at -2.06 eV/atom. The uncorrected energy is -5.911 eV/atom. As for the density of states at the Fermi level: 1.836 states/eV/cell. Its space group is I4/mmm (139).

Cell lengths 13.1201, 13.1201, 13.1201 Å; angles 161.84, 161.84, 25.80 degrees
Atoms (fractional coordinates):
Li 0.2500 0.7500 0.5000
Li 0.7500 0.2500 0.5000
Nd 0.0000 0.0000 0.0000
Nd 0.3615 0.3615 0.0000
Nd 0.6385 0.6385 0.0000
Se 0.1178 0.1178 0.0000
Se 0.5000 0.5000 0.0000
Se 0.8822 0.8822 0.0000
O 0.2794 0.2794 0.0000
O 0.7206 0.7206 0.0000

# 11
Here is crystalline Li3NdSe4O12 at its relaxed geometry from the Alexandria database. Energies are from GGA-PBE.

Output
The formation energy from raw total energies comes out at -1.07 eV/atom. The uncorrected energy is -5.266 eV/atom. As for the density of states at the Fermi level: 4.276 states/eV/cell. Its space group is R32 (155).

Cell lengths 6.7570, 6.7570, 6.7570 Å; angles 105.88, 105.88, 105.88 degrees
Atoms (fractional coordinates):
Li 0.0000 0.5755 0.4245
Li 0.4245 0.0000 0.5755
Li 0.5755 0.4245 0.0000
Nd 0.0000 0.0000 0.0000
Se 0.0988 0.5000 0.9012
Se 0.5000 0.5000 0.5000
Se 0.5000 0.9012 0.0988
Se 0.9012 0.0988 0.5000
O 0.0047 0.2457 0.3370
O 0.0576 0.9424 0.5000
O 0.2457 0.3370 0.0047
O 0.3370 0.0047 0.2457
O 0.3476 0.6524 0.5000
O 0.5000 0.0576 0.9424
O 0.5000 0.3476 0.6524
O 0.6524 0.5000 0.3476
O 0.6630 0.7543 0.9953
O 0.7543 0.9953 0.6630
O 0.9424 0.5000 0.0576
O 0.9953 0.6630 0.7543

# 12
Here is crystalline LiNd2SiO5 at its relaxed geometry from the Alexandria database. Energies are from GGA-PBE.

Output
The formation energy from raw total energies comes out at -2.51 eV/atom. The uncorrected energy is -7.136 eV/atom. As for the density of states at the Fermi level: 3.937 states/eV/cell. Its space group is P4/mbm (127).

Cell lengths 6.8360, 6.8360, 5.3873 Å; angles 90.00, 90.00, 90.00 degrees
Atoms (fractional coordinates):
Li 0.0000 0.0000 0.0000
Li 0.5000 0.5000 0.0000
Nd 0.1798 0.3202 0.5000
Nd 0.3202 0.8202 0.5000
Nd 0.6798 0.1798 0.5000
Nd 0.8202 0.6798 0.5000
Si 0.0000 0.5000 0.0000
Si 0.5000 0.0000 0.0000
O 0.0000 0.0000 0.5000
O 0.1245 0.6245 0.2289
O 0.1245 0.6245 0.7711
O 0.3755 0.1245 0.2289
O 0.3755 0.1245 0.7711
O 0.5000 0.5000 0.5000
O 0.6245 0.8755 0.2289
O 0.6245 0.8755 0.7711
O 0.8755 0.3755 0.2289
O 0.8755 0.3755 0.7711

# 13
Here is crystalline LiNd2TaO6 at its relaxed geometry from the Alexandria database. Energies are from GGA-PBE.

Output
The formation energy from raw total energies comes out at -3.04 eV/atom. The uncorrected energy is -8.345 eV/atom. As for the density of states at the Fermi level: 0.000 states/eV/cell. Its space group is R3 (146).

Cell lengths 5.7261, 5.7261, 5.7261 Å; angles 59.63, 59.63, 59.63 degrees
Atoms (fractional coordinates):
Li 0.0000 0.0000 0.0000
Nd 0.2659 0.2659 0.2659
Nd 0.7655 0.7655 0.7655
Ta 0.4939 0.4939 0.4939
O 0.1519 0.7013 0.3517
O 0.2356 0.6354 0.8207
O 0.3517 0.1519 0.7013
O 0.6354 0.8207 0.2356
O 0.7013 0.3517 0.1519
O 0.8207 0.2356 0.6354

# 14
Here is crystalline LiNdTc2O8 at its relaxed geometry from the Alexandria database. Energies are from GGA-PBE.

Output
The formation energy from raw total energies comes out at -1.87 eV/atom. The uncorrected energy is -7.464 eV/atom. As for the density of states at the Fermi level: 4.451 states/eV/cell. Its space group is I-4 (82).

Cell lengths 6.8769, 6.8769, 6.8769 Å; angles 134.96, 134.96, 65.60 degrees
Atoms (fractional coordinates):
Li 0.0000 0.0000 0.0000
Nd 0.2500 0.7500 0.5000
Tc 0.5000 0.5000 0.0000
Tc 0.7500 0.2500 0.5000
O 0.2665 0.6637 0.0945
O 0.3363 0.4308 0.6028
O 0.4190 0.0184 0.0975
O 0.5692 0.1720 0.9055
O 0.6784 0.5810 0.5994
O 0.8280 0.7335 0.3972
O 0.9210 0.3216 0.9025
O 0.9816 0.0790 0.4006

# 15
Here is crystalline LiNd2TcO6 at its relaxed geometry from the Alexandria database. Energies are from GGA-PBE.

Output
The formation energy from raw total energies comes out at -2.52 eV/atom. The uncorrected energy is -7.677 eV/atom. As for the density of states at the Fermi level: 11.808 states/eV/cell. Its space group is P2_1/c (14).

Cell lengths 5.4756, 5.8435, 9.4369 Å; angles 90.00, 124.60, 90.00 degrees
Atoms (fractional coordinates):
Li 0.0000 0.0000 0.0000
Li 0.0000 0.5000 0.5000
Nd 0.2298 0.0715 0.7478
Nd 0.2298 0.4285 0.2478
Nd 0.7702 0.5715 0.7522
Nd 0.7702 0.9285 0.2522
Tc 0.5000 0.0000 0.5000
Tc 0.5000 0.5000 0.0000
O 0.1529 0.1855 0.4501
O 0.1529 0.3145 0.9501
O 0.2672 0.7127 0.4455
O 0.2672 0.7873 0.9455
O 0.3573 0.0323 0.2563
O 0.3573 0.4677 0.7563
O 0.6427 0.5323 0.2437
O 0.6427 0.9677 0.7437
O 0.7328 0.2127 0.0545
O 0.7328 0.2873 0.5545
O 0.8471 0.6855 0.0499
O 0.8471 0.8145 0.5499

# 16
Here is crystalline LiNdTcO6 at its relaxed geometry from the Alexandria database. Energies are from GGA-PBE.

Output
The formation energy from raw total energies comes out at -1.79 eV/atom. The uncorrected energy is -6.994 eV/atom. Its space group is P1 (1).

Cell lengths 5.0935, 5.1303, 5.1511 Å; angles 87.54, 61.74, 88.82 degrees
Atoms (fractional coordinates):
Li 0.0000 0.0000 0.0000
Nd 0.3056 0.4425 0.3299
Tc 0.6646 0.9481 0.6460
O 0.3475 0.2218 0.7184
O 0.3617 0.7809 0.9668
O 0.6315 0.7728 0.3699
O 0.6594 0.2251 0.9321
O 0.9133 0.1987 0.3559
O 0.9640 0.7883 0.6794

# 17
Here is crystalline LiNdTcO5 at its relaxed geometry from the Alexandria database. Energies are from GGA-PBE.

Output
The formation energy from raw total energies comes out at -2.04 eV/atom. The uncorrected energy is -7.269 eV/atom. As for the density of states at the Fermi level: 8.557 states/eV/cell. Its space group is C2/c (15).

Cell lengths 6.2193, 6.2193, 8.4311 Å; angles 110.22, 110.22, 89.99 degrees
Atoms (fractional coordinates):
Li 0.1968 0.8032 0.7500
Li 0.8032 0.1968 0.2500
Nd 0.5000 0.5000 0.0000
Nd 0.5000 0.5000 0.5000
Tc 0.1205 0.8795 0.2500
Tc 0.8795 0.1205 0.7500
O 0.1671 0.1911 0.3341
O 0.1911 0.1671 0.8341
O 0.2196 0.7615 0.0672
O 0.2385 0.7804 0.4328
O 0.4064 0.5936 0.7500
O 0.5936 0.4064 0.2500
O 0.7615 0.2196 0.5672
O 0.7804 0.2385 0.9328
O 0.8089 0.8329 0.1659
O 0.8329 0.8089 0.6659

# 18
Here is crystalline LiNdTeO at its relaxed geometry from the Alexandria database. Energies are from GGA-PBE.

Output
The formation energy from raw total energies comes out at -2.18 eV/atom. The uncorrected energy is -5.870 eV/atom. As for the density of states at the Fermi level: 0.000 states/eV/cell. Its space group is P4/nmm (129).

Cell lengths 4.1719, 4.1719, 9.6942 Å; angles 90.00, 90.00, 90.00 degrees
Atoms (fractional coordinates):
Li 0.2500 0.7500 0.0000
Li 0.7500 0.2500 0.0000
Nd 0.2500 0.2500 0.3834
Nd 0.7500 0.7500 0.6166
Te 0.2500 0.2500 0.8153
Te 0.7500 0.7500 0.1847
O 0.2500 0.7500 0.5000
O 0.7500 0.2500 0.5000